Ho2Cu3Ge5 after structural relaxation, computed with PBE.

energy: -4.69 eV per atom
ρ: 8.2 g/cm3

```
data_Ho2Cu3Ge5
_symmetry_space_group_name_H-M 'C 1 2/c 1'
_symmetry_Int_Tables_number 15
_symmetry_space_group_name_Hall '-C 2yc'
_cell_length_a 11.6687
_cell_length_b 11.8545
_cell_length_c 5.9919
_cell_angle_alpha 90.00
_cell_angle_beta 120.82
_cell_angle_gamma 90.00
loop_
_atom_site_label
_atom_site_type_symbol
_atom_site_fract_x
_atom_site_fract_y
_atom_site_fract_z
Ho1 Ho 0.2345 0.1251 0.2343
Cu1 Cu 0.0000 0.5003 0.2500
Cu2 Cu 0.1181 0.1368 0.6186
Ge1 Ge 0.0000 0.9999 0.2500
Ge2 Ge 0.0000 0.2660 0.2500
Ge3 Ge 0.0000 0.2670 0.7500
Ge4 Ge 0.1530 0.3945 0.1539
```

TbHoC after structural relaxation, computed with PBE.

energy: -5.88 eV per atom
ρ: 8.1 g/cm3

```
data_TbHoC
_symmetry_space_group_name_H-M 'P 42/m m c'
_symmetry_Int_Tables_number 131
_symmetry_space_group_name_Hall '-P 4c 2'
_cell_length_a 4.4397
_cell_length_b 4.4397
_cell_length_c 7.0017
_cell_angle_alpha 90.00
_cell_angle_beta 90.00
_cell_angle_gamma 90.00
loop_
_atom_site_label
_atom_site_type_symbol
_atom_site_fract_x
_atom_site_fract_y
_atom_site_fract_z
Tb1 Tb 0.0000 0.0000 0.2500
Ho1 Ho 0.5000 0.5000 0.0000
C1 C 0.0000 0.5000 0.0000
```

MgFeBi2 after structural relaxation, computed with PBE.

energy: -3.94 eV per atom
ρ: 8.9 g/cm3

```
data_MgFeBi2
_symmetry_space_group_name_H-M 'F -4 3 m'
_symmetry_Int_Tables_number 216
_symmetry_space_group_name_Hall 'F -4 2 3'
_cell_length_a 7.1882
_cell_length_b 7.1882
_cell_length_c 7.1882
_cell_angle_alpha 90.00
_cell_angle_beta 90.00
_cell_angle_gamma 90.00
loop_
_atom_site_label
_atom_site_type_symbol
_atom_site_fract_x
_atom_site_fract_y
_atom_site_fract_z
Mg1 Mg 0.0000 0.0000 0.0000
Fe1 Fe 0.2500 0.2500 0.2500
Bi1 Bi 0.0000 0.0000 0.5000
Bi2 Bi 0.2500 0.2500 0.7500
```

TlIn2Ir after structural relaxation, computed with PBE.

energy: -3.77 eV per atom
ρ: 12.0 g/cm3

```
data_TlIn2Ir
_symmetry_space_group_name_H-M 'F -4 3 m'
_symmetry_Int_Tables_number 216
_symmetry_space_group_name_Hall 'F -4 2 3'
_cell_length_a 7.0167
_cell_length_b 7.0167
_cell_length_c 7.0167
_cell_angle_alpha 90.00
_cell_angle_beta 90.00
_cell_angle_gamma 90.00
loop_
_atom_site_label
_atom_site_type_symbol
_atom_site_fract_x
_atom_site_fract_y
_atom_site_fract_z
Tl1 Tl 0.0000 0.0000 0.0000
In1 In 0.0000 0.0000 0.5000
In2 In 0.2500 0.2500 0.7500
Ir1 Ir 0.2500 0.2500 0.2500
```